VASP calculation (GGA-PBE) on an optimized crystal structure of La2Hg2Pt15.

Cell: 9.4741 9.4741 13.4609 Å, 90.00 90.00 120.00°
Space group R-3m (No. 166, hexagonal axes)
Inequivalent atoms, fractional coordinates:
La 0.0000 0.0000 0.1504
Hg 0.0000 0.0000 0.3970
Pt 0.0000 0.3180 0.5000
Pt 0.0000 0.5000 0.0000
Pt 0.0058 0.5029 0.6592

Calculated values
Calculated density ... 17.2 g/cm³
Electronic total energy ... -5.77 eV/atom



VASP calculation (GGA-PBE) on an optimized crystal structure of La3HgPt2.

Cell: 5.353 12.940 9.954 Å, 90.00 90.00 90.00°
Space group Cmcm (No. 63)
Inequivalent atoms, fractional coordinates:
La 0.000 0.102 0.250
La 0.000 0.367 0.040
Hg 0.000 0.216 0.750
Pt 0.000 0.000 0.000
Pt 0.000 0.472 0.750

Calculated values
Calculated density ... 9.7 g/cm³
Electronic total energy ... -5.29 eV/atom



VASP calculation (GGA-PBE) on an optimized crystal structure of La6Hg5Pt.

Cell: 17.178 7.794 5.437 Å, 90.00 108.40 90.00°
Space group C2/m (No. 12)
Inequivalent atoms, fractional coordinates:
La 0.000 0.226 0.000
La 0.156 0.234 0.656
Hg 0.000 0.500 0.500
Hg 0.167 0.500 0.167
Hg 0.186 0.000 0.186
Pt 0.000 0.000 0.500

Calculated values
Calculated density ... 9.8 g/cm³
Electronic total energy ... -3.70 eV/atom



VASP calculation (GGA-PBE) on an optimized crystal structure of La3Hg2Pt.

Cell: 5.336 7.739 8.544 Å, 90.00 108.16 90.00°
Space group P2/m (No. 10)
Inequivalent atoms, fractional coordinates:
La 0.000 0.242 0.000
La 0.324 0.222 0.649
Hg 0.167 0.500 0.333
Hg 0.500 0.000 0.000
Hg 0.500 0.500 0.000
Pt 0.150 0.000 0.299

Calculated values
Calculated density ... 10.0 g/cm³
Distance to the lowest polymorph of the same formula ... 0 meV/atom
Electronic total energy ... -4.27 eV/atom



VASP calculation (GGA-PBE) on an optimized crystal structure of La3HgPt.

Cell: 5.680 5.680 5.680 Å, 90.00 90.00 90.00°
Space group Pm-3m (No. 221)
Inequivalent atoms, fractional coordinates:
La 0.000 0.000 0.500
Hg 0.500 0.500 0.500
Pt 0.000 0.000 0.000

Calculated values
Calculated density ... 7.4 g/cm³
Distance to the lowest polymorph of the same formula ... 269 meV/atom
Electronic total energy ... -4.64 eV/atom



VASP calculation (GGA-PBE) on an optimized crystal structure of LaHg3Pt.

Cell: 5.204 5.204 5.204 Å, 90.00 90.00 90.00°
Space group Pm-3m (No. 221)
Inequivalent atoms, fractional coordinates:
La 0.000 0.000 0.000
Hg 0.000 0.500 0.500
Pt 0.500 0.500 0.500

Calculated values
Calculated density ... 11.0 g/cm³
Distance to the lowest polymorph of the same formula ... 0 meV/atom
Electronic total energy ... -2.52 eV/atom



VASP calculation (GGA-PBE) on an optimized crystal structure of La2HgPt2.

Cell: 5.693 5.693 8.279 Å, 90.00 90.00 90.00°
Space group I4/mmm (No. 139)
Inequivalent atoms, fractional coordinates:
La 0.000 0.500 0.250
Hg 0.000 0.000 0.000
Pt 0.000 0.000 0.344

Calculated values
Calculated density ... 10.8 g/cm³
Electronic total energy ... -5.34 eV/atom



VASP calculation (GGA-PBE) on an optimized crystal structure of LaHgPt3.

Cell: 5.263 5.263 5.263 Å, 90.00 90.00 90.00°
Space group Pm-3m (No. 221)
Inequivalent atoms, fractional coordinates:
La 0.000 0.000 0.000
Hg 0.500 0.500 0.500
Pt 0.000 0.000 0.500

Calculated values
Calculated density ... 10.5 g/cm³
Distance to the lowest polymorph of the same formula ... 624 meV/atom
Electronic total energy ... -3.84 eV/atom